Record 1
Below is a relaxed PrPuU crystal, with properties calculated at the PBE level.

Results
ρ: 11.37 Mg/m³
energy relative to the elements: 296.6 kJ/mol of formula units
total moment: 3.049 μB/atom
E_tot: -27.1 eV/cell

a = 5.0476 Å, b = 5.0476 Å, c = 5.0476 Å
α = 60.00°, β = 60.00°, γ = 60.00°
With the nearest neighbours (Å) after each atom.
Atoms (fractional coordinates):
Pr  0.0000  0.0000  0.0000  4 U 3.09
Pu  0.5000  0.5000  0.5000  4 U 3.09
U  0.7500  0.7500  0.7500  4 Pr 3.09, 4 Pu 3.09



Record 2
Below is a relaxed WSe2S2Br crystal, with properties calculated at the PBE level.

Results
ρ: 4.92 Mg/m³
total moment: 0.000 μB/atom
E_tot: -64.1 eV/cell

a = 6.2631 Å, b = 8.0314 Å, c = 8.0840 Å
α = 118.75°, β = 106.32°, γ = 96.16°
With the nearest neighbours (Å) after each atom.
Atoms (fractional coordinates):
W  0.2249  0.0002  0.9997  4 S 2.43-2.54, 4 Se 2.57-2.65
W  0.7751  0.9998  0.0003  4 S 2.43-2.54, 4 Se 2.57-2.65
Se  0.1268  0.3118  0.2318  1 S 2.43, 2 W 2.57, 1 Br 2.66
Se  0.4680  0.7521  0.0065  1 S 2.24
Se  0.5320  0.2479  0.9935  1 S 2.24
Se  0.8732  0.6882  0.7682  1 S 2.43, 2 W 2.57, 1 Br 2.66
S  0.0303  0.8512  0.1381  2 W 2.43, 1 Se 2.43
S  0.3929  0.9334  0.7290  1 Se 2.24
S  0.6071  0.0666  0.2710  1 Se 2.24
S  0.9697  0.1488  0.8619  2 W 2.43, 1 Se 2.43
Br  0.2693  0.3666  0.6019  1 Se 2.66
Br  0.7307  0.6334  0.3981  1 Se 2.66



Record 3
Below is a relaxed LuCdCuAg crystal, with properties calculated at the PBE level.

Results
ρ: 9.85 Mg/m³
energy relative to the elements: -37.7 kJ/mol of formula units
total moment: 0.001 μB/atom
E_tot: -12.4 eV/cell

a = 4.7829 Å, b = 4.7829 Å, c = 4.7829 Å
α = 60.00°, β = 60.00°, γ = 60.00°
With the nearest neighbours (Å) after each atom.
Atoms (fractional coordinates):
Lu  0.0000  0.0000  0.0000  4 Cd 2.93, 4 Ag 2.93
Cd  0.2500  0.2500  0.2500  4 Cu 2.93, 4 Lu 2.93
Cu  0.5000  0.5000  0.5000  4 Ag 2.93, 4 Cd 2.93
Ag  0.7500  0.7500  0.7500  4 Cu 2.93, 4 Lu 2.93



Record 4
Below is a relaxed Cu2Ag3 crystal, with properties calculated at the PBE level.

Results
ρ: 9.57 Mg/m³
energy relative to the elements: 43.4 kJ/mol of formula units
E_tot: -30.9 eV/cell

a = 9.9712 Å, b = 9.9712 Å, c = 4.0191 Å
α = 90.00°, β = 90.00°, γ = 156.96°
With the nearest neighbours (Å) after each atom.
Atoms (fractional coordinates):
Cu  0.0479  0.9521  0.7500  2 Cu 2.75, 10 Ag 2.75-2.89
Cu  0.2501  0.7499  0.7500  8 Ag 2.73-2.75, 4 Cu 2.83
Cu  0.7499  0.2501  0.2500  8 Ag 2.73-2.75, 4 Cu 2.83
Cu  0.9521  0.0479  0.2500  2 Cu 2.75, 10 Ag 2.75-2.89
Ag  0.1543  0.8457  0.2500  6 Cu 2.73-2.89, 6 Ag 2.83-2.86
Ag  0.3462  0.6538  0.2500  6 Cu 2.74-2.87, 6 Ag 2.83-2.87
Ag  0.4510  0.5490  0.7500  6 Cu 2.75-2.83, 6 Ag 2.78-2.87
Ag  0.5490  0.4510  0.2500  6 Cu 2.75-2.83, 6 Ag 2.78-2.87
Ag  0.6538  0.3462  0.7500  6 Cu 2.74-2.87, 6 Ag 2.83-2.87
Ag  0.8457  0.1543  0.7500  6 Cu 2.73-2.89, 6 Ag 2.83-2.86



Record 5
Below is a relaxed Pr6O11 crystal, with properties calculated at the PBE level.

Results
ρ: 6.28 Mg/m³
total moment: 0.236 μB/atom
E_tot: -522.1 eV/cell

a = 6.8975 Å, b = 12.0079 Å, c = 13.2516 Å
α = 90.00°, β = 100.04°, γ = 90.00°
With the nearest neighbours (Å) after each atom.
Atoms (fractional coordinates):
Pr  0.0867  0.1702  0.3758  7 O 2.36-2.47
Pr  0.0867  0.3298  0.8758  7 O 2.36-2.47
Pr  0.1253  0.9997  0.8690  8 O 2.41-2.57
Pr  0.1253  0.5003  0.3690  8 O 2.41-2.57
Pr  0.1420  0.6663  0.8777  8 O 2.41-2.60
Pr  0.1420  0.8337  0.3777  8 O 2.41-2.60
Pr  0.3622  0.1702  0.1051  7 O 2.38-2.44
Pr  0.3622  0.3298  0.6051  7 O 2.38-2.44
Pr  0.3643  0.0139  0.6164  7 O 2.37-2.51
Pr  0.3643  0.4861  0.1164  7 O 2.37-2.51
Pr  0.3726  0.6502  0.6255  7 O 2.37-2.50
Pr  0.3726  0.8498  0.1255  7 O 2.37-2.50
Pr  0.6274  0.1502  0.8745  7 O 2.37-2.50
Pr  0.6274  0.3498  0.3745  7 O 2.37-2.50
Pr  0.6357  0.5139  0.8836  7 O 2.37-2.51
Pr  0.6357  0.9861  0.3836  7 O 2.37-2.51
Pr  0.6378  0.6702  0.3949  7 O 2.38-2.44
Pr  0.6378  0.8298  0.8949  7 O 2.38-2.44
Pr  0.8580  0.1663  0.6223  8 O 2.41-2.60
Pr  0.8580  0.3337  0.1223  8 O 2.41-2.60
Pr  0.8747  0.0003  0.1310  8 O 2.41-2.57
Pr  0.8747  0.4997  0.6310  8 O 2.41-2.57
Pr  0.9133  0.6702  0.1242  7 O 2.36-2.47
Pr  0.9133  0.8298  0.6242  7 O 2.36-2.47
O  0.0648  0.0022  0.6844  4 Pr 2.39-2.49
O  0.0648  0.4978  0.1844  4 Pr 2.39-2.49
O  0.0747  0.6618  0.6932  4 Pr 2.39-2.44
O  0.0747  0.8382  0.1932  4 Pr 2.39-2.44
O  0.0824  0.1681  0.1953  4 Pr 2.39-2.60
O  0.0824  0.3319  0.6953  4 Pr 2.39-2.60
O  0.1626  0.1687  0.5564  4 Pr 2.36-2.41
O  0.1626  0.3313  0.0564  4 Pr 2.36-2.41
O  0.1792  0.0047  0.0588  4 Pr 2.37-2.48
O  0.1792  0.4953  0.5588  4 Pr 2.37-2.48
O  0.2340  0.6688  0.0719  4 Pr 2.41-2.54
O  0.2340  0.8312  0.5719  4 Pr 2.41-2.54
O  0.3113  0.6621  0.4381  4 Pr 2.42-2.45
O  0.3113  0.8379  0.9381  4 Pr 2.42-2.45
O  0.3115  0.1732  0.9203  4 Pr 2.38-2.48
O  0.3115  0.3268  0.4203  4 Pr 2.38-2.48
O  0.3156  0.0130  0.4246  4 Pr 2.39-2.51
O  0.3156  0.4870  0.9246  4 Pr 2.39-2.51
O  0.4500  0.5202  0.3005  4 Pr 2.43-2.57
O  0.4500  0.9798  0.8005  4 Pr 2.43-2.57
O  0.4582  0.6786  0.8074  4 Pr 2.38-2.52
O  0.4582  0.8214  0.3074  4 Pr 2.38-2.52
O  0.5418  0.1786  0.6926  4 Pr 2.38-2.52
O  0.5418  0.3214  0.1926  4 Pr 2.38-2.52
O  0.5500  0.0202  0.1995  4 Pr 2.43-2.57
O  0.5500  0.4798  0.6995  4 Pr 2.43-2.57
O  0.6844  0.5130  0.0754  4 Pr 2.39-2.51
O  0.6844  0.9870  0.5754  4 Pr 2.39-2.51
O  0.6885  0.6732  0.5797  4 Pr 2.38-2.48
O  0.6885  0.8268  0.0797  4 Pr 2.38-2.48
O  0.6887  0.1621  0.0619  4 Pr 2.42-2.45
O  0.6887  0.3379  0.5619  4 Pr 2.42-2.45
O  0.7660  0.1688  0.4281  4 Pr 2.41-2.54
O  0.7660  0.3312  0.9281  4 Pr 2.41-2.54
O  0.8208  0.5047  0.4412  4 Pr 2.37-2.48
O  0.8208  0.9953  0.9412  4 Pr 2.37-2.48
O  0.8374  0.6687  0.9436  4 Pr 2.36-2.41
O  0.8374  0.8313  0.4436  4 Pr 2.36-2.41
O  0.9176  0.6681  0.3047  4 Pr 2.39-2.60
O  0.9176  0.8319  0.8047  4 Pr 2.39-2.60
O  0.9253  0.1618  0.8068  4 Pr 2.39-2.44
O  0.9253  0.3382  0.3068  4 Pr 2.39-2.44
O  0.9352  0.5022  0.8156  4 Pr 2.39-2.49
O  0.9352  0.9978  0.3156  4 Pr 2.39-2.49



Record 6
Below is a relaxed BaSmTe3Au crystal, with properties calculated at the PBE level.

Results
ρ: 7.06 Mg/m³
total moment: 0.000 μB/atom
E_tot: -52.8 eV/cell

a = 10.3189 Å, b = 10.3189 Å, c = 9.1315 Å
α = 100.36°, β = 100.36°, γ = 25.29°
With the nearest neighbours (Å) after each atom.
Atoms (fractional coordinates):
Ba  0.1267  0.1267  0.0827  7 Te 3.39-3.73
Ba  0.8733  0.8733  0.9173  7 Te 3.39-3.73
Sm  0.1618  0.1618  0.5941  6 Te 3.12-3.21
Sm  0.8382  0.8382  0.4059  6 Te 3.12-3.21
Te  0.0000  0.0000  0.5000  4 Au 3.01, 2 Sm 3.21
Te  0.3150  0.3150  0.1612  1 Au 2.77
Te  0.3235  0.3235  0.6331  3 Sm 3.12-3.21, 2 Ba 3.45
Te  0.5000  0.5000  0.0000  2 Au 3.00
Te  0.6765  0.6765  0.3669  3 Sm 3.12-3.21, 2 Ba 3.45
Te  0.6850  0.6850  0.8388  1 Au 2.77
Au  0.4507  0.4507  0.2905  4 Te 2.77-3.01
Au  0.5493  0.5493  0.7095  4 Te 2.77-3.01



Record 7
Below is a relaxed YNiHgB crystal, with properties calculated at the PBE level.

Results
ρ: 9.15 Mg/m³
total moment: 0.001 μB/atom
E_tot: -17.9 eV/cell

a = 4.5164 Å, b = 4.5164 Å, c = 4.5164 Å
α = 60.00°, β = 60.00°, γ = 60.00°
With the nearest neighbours (Å) after each atom.
Atoms (fractional coordinates):
Y  0.0000  0.0000  0.0000  4 Ni 2.77, 4 B 2.77
Ni  0.2500  0.2500  0.2500  4 Hg 2.77, 4 Y 2.77
Hg  0.5000  0.5000  0.5000  4 Ni 2.77, 4 B 2.77
B  0.7500  0.7500  0.7500  4 Hg 2.77, 4 Y 2.77



Record 8
Below is a relaxed Ho3Tm3CoTe2 crystal, with properties calculated at the PBE level.

Results
ρ: 9.47 Mg/m³
total moment: 0.007 μB/atom
E_tot: -46.6 eV/cell

a = 8.2614 Å, b = 8.2614 Å, c = 3.9036 Å
α = 90.00°, β = 90.00°, γ = 120.00°
With the nearest neighbours (Å) after each atom.
Atoms (fractional coordinates):
Ho  0.0000  0.6049  0.0000  4 Te 3.20, 1 Co 3.26, 4 Tm 3.45
Ho  0.3951  0.3951  0.0000  4 Te 3.20, 1 Co 3.26, 4 Tm 3.45
Ho  0.6049  0.0000  0.0000  4 Te 3.20, 1 Co 3.26, 4 Tm 3.45
Tm  0.0000  0.2346  0.5000  2 Co 2.75
Tm  0.2346  0.0000  0.5000  2 Co 2.75
Tm  0.7654  0.7654  0.5000  2 Co 2.75
Co  0.0000  0.0000  0.0000  6 Tm 2.75
Te  0.3333  0.6667  0.5000  6 Ho 3.20, 3 Tm 3.24
Te  0.6667  0.3333  0.5000  6 Ho 3.20, 3 Tm 3.24